# 1
Crystalline U4SiTc4 at its relaxed geometry. Source: Alexandria, functional GGA-PBE.

Its uncorrected formation energy is 0.024 eV per atom. Its uncorrected energy is -183.65 eV/cell.

It has space group P4_2/nmc (No. 137, origin choice 2), with a = 7.5158 Å, b = 7.5158 Å, c = 6.1351 Å, α = 90.00°, β = 90.00° and γ = 90.00°. Symmetry generates all atoms from U at (0.0818, 0.2500, 0.0408), Si at (0.2500, 0.7500, 0.7500) and Tc at (0.0581, 0.7500, 0.4267).



# 2
Crystalline Pm4In5Ag2 at its relaxed geometry. Source: Alexandria, functional GGA-PBE.

Its formation enthalpy at 0 K is -0.3914 eV/atom. Its uncorrected energy is -42.70 eV/cell.

It has space group P2/m (No. 10), with a = 7.9310 Å, b = 3.5837 Å, c = 10.2835 Å, α = 90.00°, β = 94.27° and γ = 90.00°. Symmetry generates all atoms from Pm at (0.1691, 0.0000, 0.3805), Pm at (0.2659, 0.0000, 0.9426), In at (0.1896, 0.5000, 0.6634), In at (0.4400, 0.5000, 0.1994), In at (0.5000, 0.5000, 0.5000) and Ag at (0.0625, 0.5000, 0.1340).



# 3
Crystalline NaSc2AlZn at its relaxed geometry. Source: Alexandria, functional GGA-PBE.

Its formation enthalpy at 0 K is 0.9060 eV/atom. Its uncorrected energy is -14.47 eV/cell.

It has space group P4/mmm (No. 123), with a = 5.0829 Å, b = 5.0829 Å, c = 4.6197 Å, α = 90.00°, β = 90.00° and γ = 90.00°. Symmetry generates all atoms from Na at (0.0000, 0.0000, 0.0000), Sc at (0.0000, 0.5000, 0.0000), Al at (0.5000, 0.5000, 0.5000) and Zn at (0.0000, 0.0000, 0.5000).



# 4
Crystalline Pa4As2RuSe at its relaxed geometry. Source: Alexandria, functional GGA-PBE.

Its uncorrected formation energy is -0.907 eV per atom. Its uncorrected energy is -67.30 eV/cell.

It has space group P2/m (No. 10), with a = 7.1088 Å, b = 3.9600 Å, c = 7.1191 Å, α = 90.00°, β = 108.42° and γ = 90.00°. Symmetry generates all atoms from Pa at (0.2324, 0.0000, 0.2345), Pa at (0.2412, 0.5000, 0.7561), As at (0.0000, 0.0000, 0.5000), As at (0.5000, 0.5000, 0.5000), Ru at (0.0000, 0.5000, 0.0000) and Se at (0.5000, 0.0000, 0.0000).



# 5
Crystalline SrLaCuSi at its relaxed geometry. Source: Alexandria, functional GGA-PBE.

Its uncorrected formation energy is -0.280 eV per atom. Its uncorrected energy is -68.99 eV/cell.

It has space group F-43m (No. 216), with a = 7.4593 Å, b = 7.4593 Å, c = 7.4593 Å, α = 90.00°, β = 90.00° and γ = 90.00°. Symmetry generates all atoms from Sr at (0.0000, 0.0000, 0.0000), La at (0.0000, 0.0000, 0.5000), Cu at (0.2500, 0.2500, 0.2500) and Si at (0.2500, 0.2500, 0.7500).



# 6
Crystalline PmPr2H at its relaxed geometry. Source: Alexandria, functional GGA-PBE.

Its energy above the most stable polymorph in this dataset is 0 meV per atom. Its uncorrected energy is -54.80 eV/cell.

It has space group R-3m (No. 166, hexagonal axes), with a = 3.7496 Å, b = 3.7496 Å, c = 26.6693 Å, α = 90.00°, β = 90.00° and γ = 120.00°. Symmetry generates all atoms from Pm at (0.0000, 0.0000, 0.0000), Pr at (0.0000, 0.0000, 0.2218) and H at (0.0000, 0.0000, 0.5000).



# 7
Crystalline Ca2AlPb2 at its relaxed geometry. Source: Alexandria, functional GGA-PBE.

Its energy above the most stable polymorph in this dataset is 0 meV per atom. Its formation enthalpy at 0 K is -0.3069 eV/atom. Its uncorrected energy is -33.39 eV/cell.

It has space group P4/mbm (No. 127), with a = 7.7245 Å, b = 7.7245 Å, c = 4.8884 Å, α = 90.00°, β = 90.00° and γ = 90.00°. Symmetry generates all atoms from Ca at (0.1677, 0.3323, 0.0000), Al at (0.0000, 0.0000, 0.5000) and Pb at (0.1432, 0.6432, 0.5000).



# 8
Crystalline LiAlI2N at its relaxed geometry. Source: Alexandria, functional GGA-PBE.

Its energy above the most stable polymorph in this dataset is 0 meV per atom. Its uncorrected formation energy is -0.206 eV per atom. Its uncorrected energy is -18.11 eV/cell.

It has space group P4/mmm (No. 123), with a = 5.8700 Å, b = 5.8700 Å, c = 3.5789 Å, α = 90.00°, β = 90.00° and γ = 90.00°. Symmetry generates all atoms from Li at (0.0000, 0.0000, 0.0000), Al at (0.5000, 0.5000, 0.5000), I at (0.0000, 0.5000, 0.5000) and N at (0.5000, 0.5000, 0.0000).



# 9
Crystalline V2ZnCl at its relaxed geometry. Source: Alexandria, functional GGA-PBE.

Its energy above the most stable polymorph in this dataset is 40 meV per atom. Its uncorrected formation energy is 0.566 eV per atom. Its uncorrected energy is -76.37 eV/cell.

It has space group Fm-3m (No. 225), with a = 6.0994 Å, b = 6.0994 Å, c = 6.0994 Å, α = 90.00°, β = 90.00° and γ = 90.00°. Symmetry generates all atoms from V at (0.2500, 0.2500, 0.2500), Zn at (0.0000, 0.0000, 0.0000) and Cl at (0.0000, 0.0000, 0.5000).



# 10
Crystalline TaSb3Pt12 at its relaxed geometry. Source: Alexandria, functional GGA-PBE.

Its uncorrected formation energy is -0.291 eV per atom. Its uncorrected energy is -101.36 eV/cell.

It has space group P4/mmm (No. 123), with a = 3.9996 Å, b = 3.9996 Å, c = 17.0726 Å, α = 90.00°, β = 90.00° and γ = 90.00°. Symmetry generates all atoms from Ta at (0.0000, 0.0000, 0.0000), Sb at (0.0000, 0.0000, 0.2572), Sb at (0.0000, 0.0000, 0.5000), Pt at (0.0000, 0.5000, 0.1119), Pt at (0.0000, 0.5000, 0.3710), Pt at (0.5000, 0.5000, 0.0000), Pt at (0.5000, 0.5000, 0.2309) and Pt at (0.5000, 0.5000, 0.5000).



# 11
Crystalline Tb2PuPd at its relaxed geometry. Source: Alexandria, functional GGA-PBE.

Its energy above the most stable polymorph in this dataset is 0 meV per atom. Its formation enthalpy at 0 K is -0.3258 eV/atom. Its uncorrected energy is -30.09 eV/cell.

It has space group P4/mmm (No. 123), with a = 3.5299 Å, b = 3.5299 Å, c = 8.3787 Å, α = 90.00°, β = 90.00° and γ = 90.00°. Symmetry generates all atoms from Tb at (0.0000, 0.0000, 0.2042), Pu at (0.5000, 0.5000, 0.5000) and Pd at (0.5000, 0.5000, 0.0000).



# 12
Crystalline SrBrCl2 at its relaxed geometry. Source: Alexandria, functional GGA-PBE.

Its energy above the most stable polymorph in this dataset is 175 meV per atom. Its uncorrected formation energy is -1.460 eV per atom. Its uncorrected energy is -12.89 eV/cell.

It has space group Pmmm (No. 47), with a = 4.3419 Å, b = 4.3628 Å, c = 5.5164 Å, α = 90.00°, β = 90.00° and γ = 90.00°. Symmetry generates all atoms from Sr at (0.0000, 0.0000, 0.0000), Br at (0.5000, 0.0000, 0.5000), Cl at (0.0000, 0.5000, 0.5000) and Cl at (0.5000, 0.5000, 0.0000).



Values for total moment, μB/cell, ordered as above
0.00, 0.00, 0.00, 0.00, 0.00, 0.00, 0.00, 0.51, 1.19, 0.00, 6.83, 0.00